--- one ---
Compound: SrCd9Hg2
Source: the Alexandria database
Functional: PBE-GGA
Structure: relaxed

Cell and atoms, written as CIF:
```
data_SrCd9Hg2
_space_group_name_H-M_alt 'I 41/a m d'
_space_group_IT_number 141
_cell_length_a 12.151
_cell_length_b 12.151
_cell_length_c 7.874
_cell_angle_alpha 90.00
_cell_angle_beta 90.00
_cell_angle_gamma 90.00
loop_
_space_group_symop_operation_xyz
'x,y,z'
'-x,-y,-z'
'-y+1/4,x+3/4,z+1/4'
'y+1/4,-x+3/4,-z+1/4'
'-x+1/2,-y,z+1/2'
'x+1/2,y,-z+1/2'
'y+1/4,-x+1/4,z+3/4'
'-y+1/4,x+1/4,-z+3/4'
'x,-y,-z'
'-x,y,z'
'-y+1/4,-x+1/4,-z+3/4'
'y+1/4,x+1/4,z+3/4'
'-x+1/2,y,-z+1/2'
'x+1/2,-y,z+1/2'
'y+1/4,x+3/4,-z+1/4'
'-y+1/4,-x+3/4,z+1/4'
'x+1/2,y+1/2,z+1/2'
'-x+1/2,-y+1/2,-z+1/2'
'-y+3/4,x+1/4,z+3/4'
'y+3/4,-x+1/4,-z+3/4'
'-x,-y+1/2,z'
'x,y+1/2,-z'
'y+3/4,-x+3/4,z+1/4'
'-y+3/4,x+3/4,-z+1/4'
'x+1/2,-y+1/2,-z+1/2'
'-x+1/2,y+1/2,z+1/2'
'-y+3/4,-x+3/4,-z+1/4'
'y+3/4,x+3/4,z+1/4'
'-x,y+1/2,-z'
'x,-y+1/2,z'
'y+3/4,x+1/4,-z+3/4'
'-y+3/4,-x+1/4,z+3/4'
loop_
_atom_site_label
_atom_site_type_symbol
_atom_site_fract_x
_atom_site_fract_y
_atom_site_fract_z
_atom_site_occupancy
Sr1 Sr 0.000 0.250 0.375 1
Cd1 Cd 0.000 0.250 0.875 1
Cd2 Cd 0.121 0.047 0.671 1
Hg1 Hg 0.000 0.000 0.000 1
```

***

--- two ---
Compound: SrCd9Hg2
Source: the Alexandria database
Functional: PBE-GGA
Structure: relaxed

Cell and atoms, written as CIF:
```
data_SrCd9Hg2
_space_group_name_H-M_alt 'P 6/m m m'
_space_group_IT_number 191
_space_group_name_Hall '-P 6 2'
_cell_length_a 9.6589
_cell_length_b 9.6589
_cell_length_c 3.6747
_cell_angle_alpha 90.00
_cell_angle_beta 90.00
_cell_angle_gamma 120.00
loop_
_atom_site_label
_atom_site_type_symbol
_atom_site_fract_x
_atom_site_fract_y
_atom_site_fract_z
_atom_site_occupancy
Sr1 Sr 0.0000 0.0000 0.0000 1
Cd1 Cd 0.0000 0.5000 0.0000 1
Cd2 Cd 0.1809 0.3617 0.5000 1
Hg1 Hg 0.3333 0.6667 0.0000 1
```

***

List of relative energies, unit kJ/mol of atoms: one 0.0; two 5.3

***

--- one ---
Compound: Sr2Cd2Hg3
Source: the Alexandria database
Functional: PBE-GGA
Structure: relaxed

Cell and atoms, written as CIF:
```
data_Sr2Cd2Hg3
_space_group_name_H-M_alt 'I 21 3'
_space_group_IT_number 199
_space_group_name_Hall 'I 2b 2c 3'
_cell_length_a 9.594
_cell_length_b 9.594
_cell_length_c 9.594
_cell_angle_alpha 90.00
_cell_angle_beta 90.00
_cell_angle_gamma 90.00
loop_
_atom_site_label
_atom_site_type_symbol
_atom_site_fract_x
_atom_site_fract_y
_atom_site_fract_z
_atom_site_occupancy
Sr1 Sr 0.003 0.497 0.503 1
Cd1 Cd 0.197 0.303 0.697 1
Hg1 Hg 0.000 0.250 0.249 1
```

***

--- two ---
Compound: Sr2Cd2Hg3
Source: the Alexandria database
Functional: PBE-GGA
Structure: relaxed

Cell and atoms, written as CIF:
```
data_Sr2Cd2Hg3
_space_group_name_H-M_alt 'C m c m'
_space_group_IT_number 63
_space_group_name_Hall '-C 2c 2'
_cell_length_a 4.581
_cell_length_b 21.163
_cell_length_c 8.484
_cell_angle_alpha 90.00
_cell_angle_beta 90.00
_cell_angle_gamma 90.00
loop_
_atom_site_label
_atom_site_type_symbol
_atom_site_fract_x
_atom_site_fract_y
_atom_site_fract_z
_atom_site_occupancy
Sr1 Sr 0.000 0.058 0.250 1
Sr2 Sr 0.000 0.155 0.750 1
Cd1 Cd 0.000 0.311 0.557 1
Hg1 Hg 0.000 0.228 0.250 1
Hg2 Hg 0.000 0.440 0.074 1
```

***

List of relative energies, unit kJ/mol of atoms: one 12.8; two 0.0

***

--- one ---
Compound: SrCdHg4
Source: the Alexandria database
Functional: PBE-GGA
Structure: relaxed

Cell and atoms, written as CIF:
```
data_SrCdHg4
_space_group_name_H-M_alt 'C 1 2/m 1'
_space_group_IT_number 12
_cell_length_a 15.795
_cell_length_b 7.957
_cell_length_c 5.499
_cell_angle_alpha 90.00
_cell_angle_beta 104.79
_cell_angle_gamma 90.00
loop_
_space_group_symop_operation_xyz
'x,y,z'
'-x,-y,-z'
'-x,y,-z'
'x,-y,z'
'x+1/2,y+1/2,z'
'-x+1/2,-y+1/2,-z'
'-x+1/2,y+1/2,-z'
'x+1/2,-y+1/2,z'
loop_
_atom_site_label
_atom_site_type_symbol
_atom_site_fract_x
_atom_site_fract_y
_atom_site_fract_z
_atom_site_occupancy
Sr1 Sr 0.208 0.000 0.144 1
Cd1 Cd 0.050 0.500 0.763 1
Hg1 Hg 0.000 0.184 0.000 1
Hg2 Hg 0.125 0.193 0.578 1
Hg3 Hg 0.167 0.500 0.268 1
```

***

--- two ---
Compound: SrCdHg4
Source: the Alexandria database
Functional: PBE-GGA
Structure: relaxed

Cell and atoms, written as CIF:
```
data_SrCdHg4
_space_group_name_H-M_alt 'P 1 2/m 1'
_space_group_IT_number 10
_cell_length_a 3.989
_cell_length_b 3.977
_cell_length_c 10.166
_cell_angle_alpha 90.00
_cell_angle_beta 91.18
_cell_angle_gamma 90.00
loop_
_space_group_symop_operation_xyz
'x,y,z'
'-x,-y,-z'
'-x,y,-z'
'x,-y,z'
loop_
_atom_site_label
_atom_site_type_symbol
_atom_site_fract_x
_atom_site_fract_y
_atom_site_fract_z
_atom_site_occupancy
Sr1 Sr 0.000 0.000 0.000 1
Cd1 Cd 0.500 0.500 0.500 1
Hg1 Hg 0.005 0.000 0.345 1
Hg2 Hg 0.493 0.500 0.812 1
```

***

--- three ---
Compound: SrCdHg4
Source: the Alexandria database
Functional: PBE-GGA
Structure: relaxed

Cell and atoms, written as CIF:
```
data_SrCdHg4
_space_group_name_H-M_alt 'F -4 3 m'
_space_group_IT_number 216
_space_group_name_Hall 'F -4 2 3'
_cell_length_a 8.737
_cell_length_b 8.737
_cell_length_c 8.737
_cell_angle_alpha 90.00
_cell_angle_beta 90.00
_cell_angle_gamma 90.00
loop_
_atom_site_label
_atom_site_type_symbol
_atom_site_fract_x
_atom_site_fract_y
_atom_site_fract_z
_atom_site_occupancy
Sr1 Sr 0.000 0.000 0.000 1
Cd1 Cd 0.250 0.250 0.750 1
Hg1 Hg 0.125 0.125 0.375 1
```

***

List of relative energies, unit kJ/mol of atoms: one 0.0; two 0.7; three 5.8

***

--- one ---
Compound: SrCd3Hg
Source: the Alexandria database
Functional: PBE-GGA
Structure: relaxed

Cell and atoms, written as CIF:
```
data_SrCd3Hg
_space_group_name_H-M_alt 'P m -3 m'
_space_group_IT_number 221
_space_group_name_Hall '-P 4 2 3'
_cell_length_a 6.686
_cell_length_b 6.686
_cell_length_c 6.686
_cell_angle_alpha 90.00
_cell_angle_beta 90.00
_cell_angle_gamma 90.00
loop_
_atom_site_label
_atom_site_type_symbol
_atom_site_fract_x
_atom_site_fract_y
_atom_site_fract_z
_atom_site_occupancy
Sr1 Sr 0.000 0.000 0.000 1
Cd1 Cd 0.000 0.000 0.500 1
Hg1 Hg 0.500 0.500 0.500 1
```

***

--- two ---
Compound: SrCd3Hg
Source: the Alexandria database
Functional: PBE-GGA
Structure: relaxed

Cell and atoms, written as CIF:
```
data_SrCd3Hg
_space_group_name_H-M_alt 'C 1 m 1'
_space_group_IT_number 8
_cell_length_a 8.798
_cell_length_b 7.066
_cell_length_c 5.397
_cell_angle_alpha 90.00
_cell_angle_beta 127.37
_cell_angle_gamma 90.00
loop_
_space_group_symop_operation_xyz
'x,y,z'
'x,-y,z'
'x+1/2,y+1/2,z'
'x+1/2,-y+1/2,z'
loop_
_atom_site_label
_atom_site_type_symbol
_atom_site_fract_x
_atom_site_fract_y
_atom_site_fract_z
_atom_site_occupancy
Sr1 Sr 0.000 0.000 0.000 1
Cd1 Cd 0.004 0.300 0.504 1
Cd2 Cd 0.302 0.000 0.799 1
Hg1 Hg 0.209 0.500 0.211 1
```

***

List of relative energies, unit kJ/mol of atoms: one 67.7; two 0.0

***

--- one ---
Compound: SrCd5Hg6
Source: the Alexandria database
Functional: PBE-GGA
Structure: relaxed

Cell and atoms, written as CIF:
```
data_SrCd5Hg6
_space_group_name_H-M_alt 'C 1 2/m 1'
_space_group_IT_number 12
_cell_length_a 7.321
_cell_length_b 13.267
_cell_length_c 7.306
_cell_angle_alpha 90.00
_cell_angle_beta 113.29
_cell_angle_gamma 90.00
loop_
_space_group_symop_operation_xyz
'x,y,z'
'-x,-y,-z'
'-x,y,-z'
'x,-y,z'
'x+1/2,y+1/2,z'
'-x+1/2,-y+1/2,-z'
'-x+1/2,y+1/2,-z'
'x+1/2,-y+1/2,z'
loop_
_atom_site_label
_atom_site_type_symbol
_atom_site_fract_x
_atom_site_fract_y
_atom_site_fract_z
_atom_site_occupancy
Sr1 Sr 0.000 0.000 0.000 1
Cd1 Cd 0.000 0.120 0.500 1
Cd2 Cd 0.000 0.304 0.000 1
Cd3 Cd 0.000 0.500 0.500 1
Hg1 Hg 0.172 0.500 0.200 1
Hg2 Hg 0.205 0.315 0.695 1
```

***

--- two ---
Compound: SrCd5Hg6
Source: the Alexandria database
Functional: PBE-GGA
Structure: relaxed

Cell and atoms, written as CIF:
```
data_SrCd5Hg6
_space_group_name_H-M_alt 'C 1 2/m 1'
_space_group_IT_number 12
_cell_length_a 9.093
_cell_length_b 15.546
_cell_length_c 5.196
_cell_angle_alpha 90.00
_cell_angle_beta 123.41
_cell_angle_gamma 90.00
loop_
_space_group_symop_operation_xyz
'x,y,z'
'-x,-y,-z'
'-x,y,-z'
'x,-y,z'
'x+1/2,y+1/2,z'
'-x+1/2,-y+1/2,-z'
'-x+1/2,y+1/2,-z'
'x+1/2,-y+1/2,z'
loop_
_atom_site_label
_atom_site_type_symbol
_atom_site_fract_x
_atom_site_fract_y
_atom_site_fract_z
_atom_site_occupancy
Sr1 Sr 0.000 0.000 0.000 1
Cd1 Cd 0.000 0.160 0.500 1
Cd2 Cd 0.000 0.323 0.000 1
Cd3 Cd 0.000 0.500 0.500 1
Hg1 Hg 0.223 0.500 0.226 1
Hg2 Hg 0.233 0.329 0.731 1
```

***

List of relative energies, unit kJ/mol of atoms: one 2.2; two 0.0